No. 1
# GGA-PBE CoSbAsI2, relaxed
# VASP energy in eV per atom: -2.741
data_CoSbAsI2
_chemical_formula_sum 'Co1 Sb1 As1 I2'
_symmetry_space_group_name_H-M 'P 4/m m m'
_symmetry_Int_Tables_number 123
_symmetry_space_group_name_Hall '-P 4 2'
_cell_length_a 5.586
_cell_length_b 5.586
_cell_length_c 5.588
_cell_angle_alpha 90.00
_cell_angle_beta 90.00
_cell_angle_gamma 90.00
loop_
_atom_site_label
_atom_site_type_symbol
_atom_site_fract_x
_atom_site_fract_y
_atom_site_fract_z
Co1 Co 0.000 0.000 0.000
Sb1 Sb 0.500 0.500 0.000
As1 As 0.500 0.500 0.500
I1 I 0.000 0.500 0.500

=====

No. 2
# GGA-PBE CoSbAsI2, relaxed
# VASP energy in eV per atom: -3.194
data_CoSbAsI2
_chemical_formula_sum 'Co1 Sb1 As1 I2'
_symmetry_space_group_name_H-M 'P 4/m m m'
_symmetry_Int_Tables_number 123
_symmetry_space_group_name_Hall '-P 4 2'
_cell_length_a 5.182
_cell_length_b 5.182
_cell_length_c 4.897
_cell_angle_alpha 90.00
_cell_angle_beta 90.00
_cell_angle_gamma 90.00
loop_
_atom_site_label
_atom_site_type_symbol
_atom_site_fract_x
_atom_site_fract_y
_atom_site_fract_z
Co1 Co 0.000 0.000 0.000
Sb1 Sb 0.000 0.000 0.500
As1 As 0.500 0.500 0.500
I1 I 0.000 0.500 0.000

=====

No. 3
# GGA-PBE Co2SbAsI, relaxed
# VASP energy in eV per atom: -4.180
data_Co2SbAsI
_chemical_formula_sum 'Co2 Sb1 As1 I1'
_symmetry_space_group_name_H-M 'P 4/m m m'
_symmetry_Int_Tables_number 123
_symmetry_space_group_name_Hall '-P 4 2'
_cell_length_a 4.576
_cell_length_b 4.576
_cell_length_c 5.786
_cell_angle_alpha 90.00
_cell_angle_beta 90.00
_cell_angle_gamma 90.00
loop_
_atom_site_label
_atom_site_type_symbol
_atom_site_fract_x
_atom_site_fract_y
_atom_site_fract_z
Co1 Co 0.000 0.500 0.000
Sb1 Sb 0.000 0.000 0.500
As1 As 0.000 0.000 0.000
I1 I 0.500 0.500 0.500

=====

No. 4
# GGA-PBE CoSb2AsI, relaxed
# VASP energy in eV per atom: -3.084
data_CoSb2AsI
_chemical_formula_sum 'Co1 Sb2 As1 I1'
_symmetry_space_group_name_H-M 'P 4/m m m'
_symmetry_Int_Tables_number 123
_symmetry_space_group_name_Hall '-P 4 2'
_cell_length_a 5.398
_cell_length_b 5.398
_cell_length_c 5.486
_cell_angle_alpha 90.00
_cell_angle_beta 90.00
_cell_angle_gamma 90.00
loop_
_atom_site_label
_atom_site_type_symbol
_atom_site_fract_x
_atom_site_fract_y
_atom_site_fract_z
Co1 Co 0.000 0.000 0.000
Sb1 Sb 0.000 0.500 0.500
As1 As 0.500 0.500 0.500
I1 I 0.500 0.500 0.000

=====

No. 5
# GGA-PBE CoSb2AsI, relaxed
# VASP energy in eV per atom: -3.760
data_CoSb2AsI
_chemical_formula_sum 'Co1 Sb2 As1 I1'
_symmetry_space_group_name_H-M 'P 4/m m m'
_symmetry_Int_Tables_number 123
_symmetry_space_group_name_Hall '-P 4 2'
_cell_length_a 4.916
_cell_length_b 4.916
_cell_length_c 5.203
_cell_angle_alpha 90.00
_cell_angle_beta 90.00
_cell_angle_gamma 90.00
loop_
_atom_site_label
_atom_site_type_symbol
_atom_site_fract_x
_atom_site_fract_y
_atom_site_fract_z
Co1 Co 0.000 0.000 0.000
Sb1 Sb 0.000 0.500 0.000
As1 As 0.500 0.500 0.500
I1 I 0.000 0.000 0.500

=====

No. 6
# GGA-PBE CoAs2SeI, relaxed
# VASP energy in eV per atom: -3.861
data_CoAs2SeI
_chemical_formula_sum 'Co1 As2 Se1 I1'
_symmetry_space_group_name_H-M 'P 4/m m m'
_symmetry_Int_Tables_number 123
_symmetry_space_group_name_Hall '-P 4 2'
_cell_length_a 4.550
_cell_length_b 4.550
_cell_length_c 5.223
_cell_angle_alpha 90.00
_cell_angle_beta 90.00
_cell_angle_gamma 90.00
loop_
_atom_site_label
_atom_site_type_symbol
_atom_site_fract_x
_atom_site_fract_y
_atom_site_fract_z
Co1 Co 0.000 0.000 0.000
As1 As 0.000 0.500 0.000
Se1 Se 0.000 0.000 0.500
I1 I 0.500 0.500 0.500